{
  "formula": "Li2TiFe2O5",
  "functional": "PBE with a Hubbard U",
  "state": "optimized geometry",
  "cell": [[4.381, 0.000, 0.000], [-2.180, 4.583, 0.000], [-0.006, -0.430, 9.544]],
  "species": ["Li", "Li", "Li", "Li", "Ti", "Ti", "Fe", "Fe", "Fe", "Fe", "O", "O", "O", "O", "O", "O", "O", "O", "O", "O"],
  "frac_coords": [[0.091, 0.196, 0.299], [0.314, 0.605, 0.901], [0.686, 0.395, 0.099], [0.909, 0.804, 0.701], [0.352, 0.789, 0.194], [0.648, 0.211, 0.806], [0.000, 0.000, 0.000], [0.209, 0.416, 0.604], [0.500, 0.000, 0.500], [0.791, 0.584, 0.396], [0.000, 0.000, 0.500], [0.072, 0.203, 0.804], [0.220, 0.424, 0.102], [0.306, 0.604, 0.380], [0.402, 0.825, 0.708], [0.500, 0.000, 0.000], [0.598, 0.175, 0.292], [0.694, 0.396, 0.620], [0.780, 0.576, 0.898], [0.928, 0.797, 0.196]],
  "polymorph_energy_ev_per_atom": 0.027
}